The following is a DFT calculation (GGA+U) of crystalline MgMn2O4 at its relaxed geometry.

Structure (extended XYZ):
```
28
Lattice="8.9787 0.0000 0.0000 0.0000 2.9710 0.0000 0.0000 0.0000 10.2865" Properties=species:S:1:pos:R:3 pbc="T T T"
Mg 2.1242 0.7428 1.5358
Mg 2.3651 2.2283 6.6790
Mg 6.6135 0.7428 3.6075
Mg 6.8545 2.2283 8.7507
Mn 0.6051 0.7428 3.9532
Mn 0.6988 0.7428 9.1977
Mn 3.7905 2.2283 4.0545
Mn 3.8842 2.2283 9.0964
Mn 5.0944 0.7428 1.1901
Mn 5.1881 0.7428 6.2320
Mn 8.2799 2.2283 1.0888
Mn 8.3736 2.2283 6.3333
O 0.0611 2.2283 8.1100
O 0.8702 0.7428 5.8874
O 1.0796 2.2283 0.2592
O 2.0058 2.2283 3.2415
O 2.4835 0.7428 8.3848
O 3.4098 0.7428 5.4024
O 3.6191 2.2283 0.7441
O 4.4282 0.7428 2.9668
O 4.5505 2.2283 7.3197
O 5.3596 0.7428 9.5423
O 5.5689 2.2283 4.8840
O 6.4951 2.2283 1.9017
O 6.9728 0.7428 7.0449
O 7.8991 0.7428 10.0273
O 8.1084 2.2283 4.3991
O 8.9175 0.7428 2.1765
```

Its crystal system is orthorhombic. The calculation puts the total DFT energy (no corrections) at -192.22 eV per cell. As for the space-group type: Pnma.


The following is a DFT calculation (GGA+U) of crystalline MgMn3O4 at its relaxed geometry.

Structure (extended XYZ):
```
16
Lattice="6.3049 0.0000 0.0000 0.0000 8.9126 0.0000 0.0000 0.0000 3.1497" Properties=species:S:1:pos:R:3 pbc="T T T"
Mg 0.0000 0.0000 0.0000
Mg 3.1525 4.4563 0.0000
Mn 0.0000 4.4563 0.0000
Mn 1.5762 2.2282 1.5748
Mn 1.5762 6.6845 1.5748
Mn 3.1525 0.0000 0.0000
Mn 4.7287 2.2282 1.5748
Mn 4.7287 6.6845 1.5748
O 0.0000 2.1806 0.0000
O 0.0000 6.7320 0.0000
O 1.5159 0.0000 1.5748
O 1.6366 4.4563 1.5748
O 3.1525 2.2757 0.0000
O 3.1525 6.6370 0.0000
O 4.6683 4.4563 1.5748
O 4.7891 0.0000 1.5748
```

Its crystal system is orthorhombic. The calculation puts the total DFT energy (no corrections) at -117.62 eV per cell. As for the space-group type: Cmmm.


The following is a DFT calculation (GGA+U) of crystalline MgMn2O4 at its relaxed geometry.

Structure (extended XYZ):
```
14
Lattice="3.0901 0.0000 0.0000 0.0000 9.4085 0.0000 -1.1439 0.0000 5.0295" Properties=species:S:1:pos:R:3 pbc="T T T"
Mg -0.1547 0.0000 0.9767
Mg 2.1009 4.7042 4.0527
Mn -0.0413 1.4574 3.6788
Mn 0.5680 7.5111 3.6314
Mn 1.3781 2.8069 1.3981
Mn 1.9874 6.1616 1.3506
O 0.0022 2.0417 0.1300
O -0.3698 3.1879 2.7754
O 0.7023 5.7308 2.7729
O 0.2786 9.1789 4.6350
O 1.2438 1.0266 2.2566
O 1.6675 4.4747 0.3944
O 2.3159 7.8921 2.2541
O 1.9440 6.7459 4.8995
```

Its crystal system is monoclinic. The calculation puts the total DFT energy (no corrections) at -99.19 eV per cell. As for the space-group type: P2_1.


The following is a DFT calculation (GGA+U) of crystalline MgMn2O4 at its relaxed geometry.

Structure (extended XYZ):
```
28
Lattice="5.7198 0.0000 0.0000 0.0000 10.8616 0.0000 -2.7754 0.0000 5.0434" Properties=species:S:1:pos:R:3 pbc="T T T"
Mg 0.8041 1.2341 0.2155
Mg -0.5836 4.1968 2.7372
Mg 3.5280 6.6649 2.3062
Mg 2.1403 9.6276 4.8279
Mn 0.6807 6.7474 0.0308
Mn -0.7070 9.5450 2.5525
Mn 0.8071 1.5522 3.0002
Mn 2.1948 3.8786 0.4785
Mn 0.7496 6.9830 4.5648
Mn 2.1373 9.3094 2.0431
Mn 3.6513 1.3166 2.4909
Mn 2.2636 4.1142 5.0126
O -0.5360 2.2670 1.7088
O -1.9237 3.1638 4.2305
O -0.7611 6.0253 3.7520
O 0.6266 10.2671 1.2303
O -0.7292 0.5730 3.7013
O 0.6585 4.8578 1.1796
O 2.2145 7.5091 0.9170
O 0.8268 8.7833 3.4387
O 2.1176 2.0783 1.6047
O 0.7299 3.3525 4.1264
O 2.2859 6.0039 3.8637
O 3.6736 10.2886 1.3421
O 2.3178 0.5945 3.8131
O 3.7055 4.8363 1.2914
O 4.8681 7.6978 0.8129
O 3.4804 8.5946 3.3346
```

Its crystal system is monoclinic. The calculation puts the total DFT energy (no corrections) at -198.14 eV per cell. As for the space-group type: P2_1/c.


The following is a DFT calculation (GGA+U) of crystalline MgMnO2 at its relaxed geometry.

Structure (extended XYZ):
```
12
Lattice="3.0980 0.0000 0.0000 -1.5490 2.6830 0.0000 0.0000 0.0000 15.2306" Properties=species:S:1:pos:R:3 pbc="T T T"
Mg 0.0000 0.0000 0.0000
Mg 0.0000 1.7886 10.1537
Mg 1.5490 0.8943 5.0768
Mn 0.0000 0.0000 7.6153
Mn 0.0000 1.7886 2.5384
Mn 1.5490 0.8943 12.6921
O 0.0000 0.0000 3.8845
O 0.0000 0.0000 11.3461
O 0.0000 1.7886 6.2692
O 0.0000 1.7886 14.0382
O 1.5490 0.8943 1.1924
O 1.5490 0.8943 8.9613
```

Its crystal system is trigonal. The calculation puts the total DFT energy (no corrections) at -82.74 eV per cell. As for the space-group type: R-3m.


The following is a DFT calculation (GGA+U) of crystalline MgMnO3 at its relaxed geometry.

Structure (extended XYZ):
```
5
Lattice="5.3044 0.0000 0.0000 -2.6522 4.5937 0.0000 0.0000 0.0000 2.6563" Properties=species:S:1:pos:R:3 pbc="T T T"
Mg 0.0000 0.0000 0.0000
Mn 2.6522 1.5312 0.0000
O 1.4012 0.8090 1.3282
O 3.9032 0.8090 1.3282
O 2.6522 2.9757 1.3282
```

Its crystal system is hexagonal. The calculation puts the total DFT energy (no corrections) at -31.95 eV per cell. As for the space-group type: P-6m2.


The following is a DFT calculation (GGA+U) of crystalline MgMnO2 at its relaxed geometry.

Structure (extended XYZ):
```
16
Lattice="3.2213 0.0000 0.0000 1.5482 8.2938 0.0000 0.5789 -0.0770 8.4304" Properties=species:S:1:pos:R:3 pbc="T T T"
Mg 1.0124 2.1914 3.1736
Mg 1.5032 0.5686 6.3398
Mg 3.8452 7.6482 2.0906
Mg 4.3360 6.0254 5.2568
Mn 2.2655 6.2579 7.8139
Mn 2.6444 5.1061 2.3837
Mn 2.7040 3.1106 6.0467
Mn 3.0829 1.9588 0.6164
O 1.0891 2.1102 5.1135
O 0.6830 0.5395 2.0566
O 2.0706 1.9536 7.7453
O 2.7266 5.1392 6.0525
O 2.6218 3.0776 2.3779
O 3.2778 6.2632 0.6850
O 4.6654 7.6773 6.3738
O 4.2593 6.1066 3.3169
```

Its crystal system is triclinic. The calculation puts the total DFT energy (no corrections) at -107.91 eV per cell. As for the space-group type: P-1.


The following is a DFT calculation (GGA+U) of crystalline Mg2Mn2O5 at its relaxed geometry.

Structure (extended XYZ):
```
18
Lattice="5.1485 -2.9769 0.0000 5.1485 2.9769 0.0000 0.0000 0.0000 5.8762" Properties=species:S:1:pos:R:3 pbc="T T T"
Mg 5.1485 1.8963 4.9344
Mg 5.1485 1.0806 1.9963
Mg 5.1485 -1.0806 3.8799
Mg 5.1485 -1.8963 0.9418
Mn 2.0664 0.0000 2.9381
Mn 3.0820 0.0000 0.0000
Mn 7.2149 0.0000 0.0000
Mn 8.2305 0.0000 2.9381
O 0.0000 0.0000 2.9381
O 3.7012 1.9146 0.7238
O 3.7012 1.0623 3.6619
O 6.5957 1.9146 0.7238
O 6.5957 1.0623 3.6619
O 5.1485 0.0000 0.0000
O 3.7012 -1.0623 2.2143
O 3.7012 -1.9146 5.1524
O 6.5957 -1.0623 2.2143
O 6.5957 -1.9146 5.1524
```

Its crystal system is orthorhombic. The calculation puts the total DFT energy (no corrections) at -116.81 eV per cell. As for the space-group type: Cmce.


The following is a DFT calculation (GGA+U) of crystalline MgMn4O8 at its relaxed geometry.

Structure (extended XYZ):
```
13
Lattice="4.5459 -3.2496 0.0000 4.5459 3.2496 0.0000 -1.5275 0.0000 4.8653" Properties=species:S:1:pos:R:3 pbc="T T T"
Mg 0.0000 0.0000 0.0000
Mn 3.7822 1.6846 2.4327
Mn 1.9061 0.0000 3.8806
Mn 5.6582 0.0000 0.9848
Mn 3.7822 -1.6846 2.4327
O 2.2334 1.8226 3.5843
O -0.0104 0.0000 3.5115
O 5.3309 1.8226 1.2810
O 3.5972 0.0000 1.1969
O 3.9672 0.0000 3.6685
O 2.2334 -1.8226 3.5843
O 7.5748 0.0000 1.3538
O 5.3309 -1.8226 1.2810
```

Its crystal system is monoclinic. The calculation puts the total DFT energy (no corrections) at -90.70 eV per cell. As for the space-group type: C2/m.


The following is a DFT calculation (GGA+U) of crystalline MgMnO at its relaxed geometry.

Structure (extended XYZ):
```
6
Lattice="3.3824 0.0000 0.0000 0.0000 4.2633 0.0000 0.0000 0.0000 6.2848" Properties=species:S:1:pos:R:3 pbc="T T T"
Mg 0.8456 1.0658 0.5701
Mg 2.5368 3.1975 5.7146
Mn 0.8456 3.1975 2.6255
Mn 2.5368 1.0658 3.6593
O 0.8456 3.1975 0.5478
O 2.5368 1.0658 5.7370
```

Its crystal system is orthorhombic. The calculation puts the total DFT energy (no corrections) at -35.76 eV per cell. As for the space-group type: Pmmn.


The following is a DFT calculation (GGA+U) of crystalline MgMn2O4 at its relaxed geometry.

Structure (extended XYZ):
```
14
Lattice="7.7071 -1.4352 0.0000 7.7071 1.4352 0.0000 -5.5847 0.0000 7.7476" Properties=species:S:1:pos:R:3 pbc="T T T"
Mg 2.0333 0.0000 1.3783
Mg 7.7961 0.0000 6.3692
Mn -2.8770 0.0000 6.3719
Mn 2.5175 0.0000 4.0496
Mn 7.3120 0.0000 3.6979
Mn 12.7065 0.0000 1.3757
O -1.0288 0.0000 2.6152
O 0.4246 0.0000 4.9110
O 3.9696 0.0000 2.1580
O 5.5594 0.0000 0.0680
O 4.2700 0.0000 7.6796
O 5.8598 0.0000 5.5896
O 9.4048 0.0000 2.8365
O 10.8582 0.0000 5.1323
```

Its crystal system is monoclinic. The calculation puts the total DFT energy (no corrections) at -98.03 eV per cell. As for the space-group type: C2/m.


The following is a DFT calculation (GGA+U) of crystalline MgMn2O at its relaxed geometry.

Structure (extended XYZ):
```
16
Lattice="6.4444 0.0000 0.0000 0.0000 6.4444 0.0000 0.0000 0.0000 6.4444" Properties=species:S:1:pos:R:3 pbc="T T T"
Mg 0.0000 0.0000 0.0000
Mg 0.0000 3.2222 3.2222
Mg 3.2222 0.0000 3.2222
Mg 3.2222 3.2222 0.0000
Mn 1.6111 1.6111 1.6111
Mn 1.6111 1.6111 4.8333
Mn 1.6111 4.8333 1.6111
Mn 1.6111 4.8333 4.8333
Mn 4.8333 1.6111 1.6111
Mn 4.8333 1.6111 4.8333
Mn 4.8333 4.8333 1.6111
Mn 4.8333 4.8333 4.8333
O 0.0000 0.0000 3.2222
O 0.0000 3.2222 0.0000
O 3.2222 0.0000 0.0000
O 3.2222 3.2222 3.2222
```

Its crystal system is cubic. The calculation puts the total DFT energy (no corrections) at -78.11 eV per cell. As for the space-group type: Fm-3m.